No. 1
Material: Tm3Ni2Sn3Pt
Method: DFT, PBE-GGA
State: relaxed

## Properties
**Uncorrected energy**: -49.67 eV/cell
**Mass density**: 10.65 g cm⁻³
**SG**: P-62m
**V**: 20.356 Å³ per atom

Cell: 7.271 7.271 4.001 Å, 90.00 90.00 120.00°
Sites, in units of the cell vectors:
Tm1 0.593 0.593 0.000
Tm2 0.000 0.407 0.000
Tm3 0.407 0.000 0.000
Ni1 0.667 0.333 0.500
Sn1 0.000 0.731 0.500
Sn2 0.731 0.000 0.500
Pt1 0.000 0.000 0.000
Sn3 0.269 0.269 0.500
Ni2 0.333 0.667 0.500


No. 2
Material: LaPaNi
Method: DFT, PBE-GGA
State: relaxed

## Properties
**Uncorrected energy**: -19.27 eV/cell
**Mass density**: 9.66 g cm⁻³
**SG**: F-43m
**E_form**: 0.7 eV/f.u.
**Energy above the most stable polymorph in this dataset**: 0.0 meV/atom
**V**: 24.550 Å³ per atom

Cell: 4.705 4.705 4.705 Å, 60.00 60.00 60.00°
Sites, in units of the cell vectors:
Ni1 0.000 0.000 0.000
Pa1 0.750 0.750 0.750
La1 0.250 0.250 0.250


No. 3
Material: RbAgSbAu
Method: DFT, PBE-GGA
State: relaxed

## Properties
**Uncorrected energy**: -10.32 eV/cell
**Mass density**: 8.27 g cm⁻³
**SG**: F-43m
**Energy above the most stable polymorph in this dataset**: 110.1 meV/atom
**V**: 25.709 Å³ per atom

Cell: 5.259 5.259 5.259 Å, 60.00 60.00 60.00°
Sites, in units of the cell vectors:
Sb1 0.000 0.000 0.000
Ag1 0.500 0.500 0.500
Rb1 0.250 0.250 0.250
Au1 0.750 0.750 0.750


No. 4
Material: LuTlCoAg
Method: DFT, PBE-GGA
State: relaxed

## Properties
**Uncorrected energy**: -16.74 eV/cell
**Mass density**: 11.87 g cm⁻³
**SG**: F-43m
**Energy above the most stable polymorph in this dataset**: 0.0 meV/atom
**V**: 19.104 Å³ per atom

Cell: 4.763 4.763 4.763 Å, 60.00 60.00 60.00°
Sites, in units of the cell vectors:
Ag1 0.250 0.250 0.250
Lu1 0.500 0.500 0.500
Co1 0.750 0.750 0.750
Tl1 0.000 0.000 0.000


No. 5
Material: IrOsNO
Method: DFT, PBE-GGA
State: relaxed

## Properties
**Uncorrected energy**: -59.87 eV/cell
**Mass density**: 15.83 g cm⁻³
**SG**: P4/nmm
**Energy above the most stable polymorph in this dataset**: 647.9 meV/atom
**V**: 10.818 Å³ per atom

Cell: 3.714 3.714 6.275 Å, 90.00 90.00 90.00°
Sites, in units of the cell vectors:
O1 0.750 0.250 0.000
Os1 0.750 0.750 0.823
O2 0.250 0.750 0.000
Ir1 0.750 0.250 0.500
N1 0.250 0.250 0.687
Ir2 0.250 0.750 0.500
N2 0.750 0.750 0.313
Os2 0.250 0.250 0.177


No. 6
Material: ZrAlAs2
Method: DFT, PBE-GGA
State: relaxed

## Properties
**Uncorrected energy**: -21.23 eV/cell
**Mass density**: 5.74 g cm⁻³
**SG**: F-43m
**V**: 19.394 Å³ per atom

Cell: 4.787 4.787 4.787 Å, 60.00 60.00 60.00°
Sites, in units of the cell vectors:
As1 0.750 0.750 0.750
Al1 0.500 0.500 0.500
As2 0.000 0.000 0.000
Zr1 0.250 0.250 0.250


No. 7
Material: BaNaNbPt
Method: DFT, PBE-GGA
State: relaxed

## Properties
**Uncorrected energy**: -16.36 eV/cell
**Mass density**: 7.10 g cm⁻³
**SG**: F-43m
**Energy above the most stable polymorph in this dataset**: 256.6 meV/atom
**V**: 26.213 Å³ per atom

Cell: 5.293 5.293 5.293 Å, 60.00 60.00 60.00°
Sites, in units of the cell vectors:
Na1 0.750 0.750 0.750
Ba1 0.250 0.250 0.250
Nb1 0.000 0.000 0.000
Pt1 0.500 0.500 0.500


No. 8
Material: AlZnNO
Method: DFT, PBE-GGA
State: relaxed

## Properties
**Uncorrected energy**: -45.94 eV/cell
**Mass density**: 5.60 g cm⁻³
**SG**: P4/mmm
**Energy above the most stable polymorph in this dataset**: 308.7 meV/atom
**V**: 9.070 Å³ per atom

Cell: 4.175 4.175 4.162 Å, 90.00 90.00 90.00°
Sites, in units of the cell vectors:
N1 0.500 0.000 0.500
O1 0.000 0.000 0.000
N2 0.000 0.500 0.500
O2 0.500 0.500 0.000
Zn1 0.500 0.000 0.999
Al1 0.000 0.000 0.500
Zn2 0.000 0.500 0.001
Al2 0.500 0.500 0.500